{
  "formula": "TaRu4Au",
  "functional": "GGA-PBE",
  "state": "optimized geometry",
  "lattice_angstrom": [[0.000, 3.613, 3.613], [3.613, 0.000, 3.613], [3.613, 3.613, 0.000]],
  "species": ["Ta", "Ru", "Ru", "Ru", "Ru", "Au"],
  "frac_coords": [[0.000, 0.000, 0.000], [0.375, 0.375, 0.375], [0.375, 0.375, 0.874], [0.375, 0.874, 0.375], [0.874, 0.375, 0.375], [0.750, 0.750, 0.750]],
  "vol_a3_per_atom": 15.72,
  "sg": "F-43m, No. 216",
  "formation_energy_ev_per_atom": 0.22
}